Record 1
First-principles (PBE-GGA) data for K2MoPt after structural relaxation, as listed in Alexandria via LeMat-Bulk.

The structure in POSCAR format:
```
K2MoPt
1.0
-2.6342 2.6342 3.7366
2.6342 -2.6342 3.7366
2.6342 2.6342 -3.7366
K Mo Pt
2 1 1
Direct
0.0000 0.0000 0.0000
0.7500 0.2500 0.5000
0.2500 0.7500 0.5000
0.5000 0.5000 0.0000
```

## Properties
polymorph energy (0 for the lowest one) = 606 meV/atom
energy of formation from the pure elements = 1.0620 eV per atom
V = 25.929 Å³/atom

Record 2
First-principles (PBE-GGA) data for KMoPt2 after structural relaxation, as listed in Alexandria via LeMat-Bulk.

The structure in POSCAR format:
```
KMoPt2
1.0
3.6401 -3.6440 0.0000
3.6401 3.6440 0.0000
0.0000 0.0000 2.7463
K Mo Pt
1 1 2
Direct
0.0000 0.0000 0.0000
0.5000 0.5000 0.0000
0.0000 0.5000 0.5000
0.5000 0.0000 0.5000
```

## Properties
polymorph energy (0 for the lowest one) = 406 meV/atom
energy of formation from the pure elements = 0.3889 eV per atom
V = 18.214 Å³/atom

Record 3
First-principles (PBE-GGA) data for KMo3Pt after structural relaxation, as listed in Alexandria via LeMat-Bulk.

The structure in POSCAR format:
```
KMo3Pt
1.0
4.9620 0.0000 0.0000
0.0000 4.9620 0.0000
0.0000 0.0000 4.9620
K Mo Pt
1 3 1
Direct
0.0000 0.0000 0.0000
0.0000 0.5000 0.5000
0.5000 0.0000 0.5000
0.5000 0.5000 0.0000
0.5000 0.5000 0.5000
```

## Properties
polymorph energy (0 for the lowest one) = 0 meV/atom
energy of formation from the pure elements = 1.8008 eV per atom
V = 24.434 Å³/atom

Record 4
First-principles (PBE-GGA) data for KMoPt2 after structural relaxation, as listed in Alexandria via LeMat-Bulk.

The structure in POSCAR format:
```
KMoPt2
1.0
2.8121 0.0000 0.0000
0.0000 3.6249 0.0000
0.0000 0.0000 8.0697
K Mo Pt
1 1 2
Direct
0.0000 0.0000 0.0000
0.0000 0.0000 0.5000
0.5000 0.5000 0.3209
0.5000 0.5000 0.6791
```

## Properties
polymorph energy (0 for the lowest one) = 13 meV/atom
energy of formation from the pure elements = -0.0036 eV per atom
V = 20.565 Å³/atom

Record 5
First-principles (PBE-GGA) data for K2MoPt after structural relaxation, as listed in Alexandria via LeMat-Bulk.

The structure in POSCAR format:
```
K2MoPt
1.0
1.5880 -2.3559 0.0000
1.5880 2.3559 0.0000
0.0000 0.0000 11.5937
K Mo Pt
2 1 1
Direct
0.0000 0.0000 0.2307
0.0000 0.0000 0.7693
0.5000 0.5000 0.5000
0.5000 0.5000 0.0000
```

## Properties
polymorph energy (0 for the lowest one) = 429 meV/atom
energy of formation from the pure elements = 0.8856 eV per atom
V = 21.687 Å³/atom

Record 6
First-principles (PBE-GGA) data for K2MoPt after structural relaxation, as listed in Alexandria via LeMat-Bulk.

The structure in POSCAR format:
```
K2MoPt
1.0
3.9242 0.0000 0.0000
0.0000 3.9242 0.0000
0.0000 0.0000 5.7644
K Mo Pt
2 1 1
Direct
0.0000 0.5000 0.0000
0.5000 0.0000 0.0000
0.0000 0.0000 0.5000
0.5000 0.5000 0.5000
```

## Properties
polymorph energy (0 for the lowest one) = 514 meV/atom
energy of formation from the pure elements = 0.9700 eV per atom
V = 22.192 Å³/atom

Record 7
First-principles (PBE-GGA) data for K3MoPt after structural relaxation, as listed in Alexandria via LeMat-Bulk.

The structure in POSCAR format:
```
K3MoPt
1.0
6.1571 0.0000 0.0000
0.0000 6.1571 0.0000
0.0000 0.0000 6.1571
K Mo Pt
3 1 1
Direct
0.0000 0.0000 0.5000
0.0000 0.5000 0.0000
0.5000 0.0000 0.0000
0.5000 0.5000 0.5000
0.0000 0.0000 0.0000
```

## Properties
polymorph energy (0 for the lowest one) = 0 meV/atom
energy of formation from the pure elements = 1.0299 eV per atom
V = 46.682 Å³/atom

Record 8
First-principles (PBE-GGA) data for K2Mo2Pt after structural relaxation, as listed in Alexandria via LeMat-Bulk.

The structure in POSCAR format:
```
K2Mo2Pt
1.0
6.5619 0.0000 0.0000
0.0000 6.5619 0.0000
0.0000 0.0000 6.0618
K Mo Pt
4 4 2
Direct
0.1961 0.3039 0.0000
0.3039 0.8039 0.0000
0.6961 0.1961 0.0000
0.8039 0.6961 0.0000
0.1193 0.6193 0.5000
0.3807 0.1193 0.5000
0.6193 0.8807 0.5000
0.8807 0.3807 0.5000
0.0000 0.0000 0.5000
0.5000 0.5000 0.5000
```

## Properties
polymorph energy (0 for the lowest one) = 0 meV/atom
energy of formation from the pure elements = 0.7929 eV per atom
V = 26.102 Å³/atom

no.,DOS at the Fermi energy (states/eV/cell)
1,3.50
2,3.43
3,6.29
4,3.29
5,3.55
6,3.09
7,0.00
8,11.11